Mg8Ga2Ag, relaxed, DFT PBE; ΔE to the lowest computed polymorph = 0.000 eV per atom
1.0
7.8238 -2.3242 0.0000
7.8238 2.3242 0.0000
-2.6526 0.0000 6.2897
Mg Ga Ag
8 2 1
Cartesian
-0.3556 0.0000 1.7369 Mg
0.8465 0.0000 4.7719 Mg
3.6934 0.0000 3.5861 Mg
6.1050 0.0000 0.3467 Mg
6.8900 0.0000 5.9430 Mg
9.3016 0.0000 2.7035 Mg
12.1485 0.0000 1.5178 Mg
13.3506 0.0000 4.5527 Mg
2.4196 0.0000 1.1008 Ga
10.5754 0.0000 5.1889 Ga
6.4975 0.0000 3.1448 Ag



Mg2GaAg, relaxed, DFT PBE; total energy = -2.1782 eV per atom
1.0
-3.7996 3.7996 2.9557
3.7996 -3.7996 2.9557
3.7996 3.7996 -2.9557
Mg Ga Ag
4 2 2
Cartesian
5.6995 1.8562 -0.7389 Mg
1.8562 1.8998 0.7389 Mg
-1.8998 1.9434 2.2167 Mg
1.9434 1.8998 3.6946 Mg
3.7996 0.0000 1.4778 Ga
0.0000 0.0000 2.9557 Ga
0.0000 0.0000 0.0000 Ag
0.0000 3.7996 1.4778 Ag



Mg4Ga2Ag3, relaxed, DFT PBE; total energy = -2.4871 eV per atom
1.0
4.3637 0.0000 0.0000
2.1808 4.5211 0.0000
0.0011 1.7521 8.4943
Mg Ga Ag
4 2 3
Cartesian
1.0944 2.6679 2.8257 Mg
3.2724 3.8978 0.9331 Mg
3.2731 2.3753 7.5612 Mg
5.4511 3.6053 5.6686 Mg
3.2699 5.2854 6.5161 Ga
3.2757 0.9877 1.9781 Ga
1.0904 2.2605 0.0000 Ag
3.2728 4.4854 3.7889 Ag
3.2728 1.7877 4.7054 Ag



Mg3Ga2Ag8, relaxed, DFT PBE; ΔE to the lowest computed polymorph = 0.030 eV per atom
1.0
2.7475 1.5863 9.8961
-2.7475 1.5863 9.8961
0.0000 -3.1726 9.8961
Mg Ga Ag
3 2 8
Cartesian
0.0000 0.0000 0.0000 Mg
0.0000 0.0000 5.4835 Mg
0.0000 0.0000 24.2049 Mg
0.0000 0.0000 10.7608 Ga
0.0000 0.0000 18.9276 Ga
-1.3829 -0.7984 16.7227 Ag
0.0000 -1.5968 12.9656 Ag
-1.3829 0.7984 12.9656 Ag
0.0000 0.0000 8.2207 Ag
0.0000 0.0000 21.4677 Ag
1.3829 -0.7984 16.7228 Ag
0.0000 1.5968 16.7228 Ag
1.3829 0.7984 12.9656 Ag



Mg2Ga8Ag, relaxed, DFT PBE; ΔE to the lowest computed polymorph = 0.009 eV per atom
1.0
7.2306 -2.6840 0.0000
7.2306 2.6840 0.0000
-0.5329 0.0000 5.4127
Mg Ga Ag
2 8 1
Cartesian
2.7543 0.0000 0.4032 Mg
11.1740 0.0000 5.0096 Mg
-0.0453 0.0000 1.3392 Ga
4.6322 1.3732 2.2655 Ga
5.2971 0.0000 5.2335 Ga
9.2961 1.3732 3.1472 Ga
4.6322 -1.3732 2.2655 Ga
8.6311 0.0000 0.1793 Ga
9.2961 -1.3732 3.1472 Ga
13.9736 0.0000 4.0736 Ga
6.9641 0.0000 2.7064 Ag



MgGaAg2, relaxed, DFT PBE; total energy = -2.4886 eV per atom
1.0
-3.8001 3.8001 2.8105
3.8001 -3.8001 2.8105
3.8001 3.8001 -2.8105
Mg Ga Ag
2 2 4
Cartesian
0.0000 0.0000 0.0000 Mg
0.0000 3.8001 1.4052 Mg
3.8001 0.0000 1.4052 Ga
0.0000 0.0000 2.8105 Ga
1.9001 2.0706 -0.7026 Ag
5.5297 1.9001 0.7026 Ag
1.9001 1.7295 2.1079 Ag
-1.7295 1.9001 3.5131 Ag



Mg7GaAg12, relaxed, DFT PBE; total energy = -2.5960 eV per atom
1.0
2.3378 1.3497 19.1395
-2.3378 1.3497 19.1395
0.0000 -2.6995 19.1395
Mg Ga Ag
7 1 12
Cartesian
0.0000 0.0000 0.0000 Mg
0.0000 0.0000 5.7497 Mg
0.0000 0.0000 17.1001 Mg
0.0000 0.0000 22.9820 Mg
0.0000 0.0000 28.7606 Mg
0.0000 0.0000 40.2118 Mg
0.0000 0.0000 51.5870 Mg
0.0000 0.0000 45.9013 Ga
0.0000 0.0000 2.9171 Ag
0.0000 0.0000 8.5450 Ag
0.0000 0.0000 11.4139 Ag
0.0000 0.0000 14.2785 Ag
0.0000 0.0000 20.0415 Ag
0.0000 0.0000 25.8763 Ag
0.0000 0.0000 31.5718 Ag
0.0000 0.0000 34.4417 Ag
0.0000 0.0000 37.3336 Ag
0.0000 0.0000 43.1052 Ag
0.0000 0.0000 48.6913 Ag
0.0000 0.0000 54.5213 Ag



MgGaAg4, relaxed, DFT PBE; ΔE to the lowest computed polymorph = 0.440 eV per atom
1.0
-3.9259 3.9259 4.6714
3.9259 -3.9259 4.6714
3.9259 3.9259 -4.6714
Mg Ga Ag
2 2 8
Cartesian
0.0000 0.0000 0.0000 Mg
0.0000 3.9259 2.3357 Mg
3.9259 0.0000 2.4117 Ga
0.0000 0.0000 4.7474 Ga
2.5772 0.0000 0.1453 Ag
5.2746 0.0000 0.1453 Ag
3.9259 2.5772 -2.1904 Ag
0.0000 1.3487 2.4810 Ag
1.3966 3.9259 -0.0601 Ag
2.5293 0.0000 4.6113 Ag
3.9259 2.5293 2.2756 Ag
0.0000 1.3966 6.9470 Ag



These records have DOS at the Fermi energy values of 4.6 3.7 2.6 4.5 2.8 2.7 6.1 4.3 states/eV/cell, in the order they appear.